# SrDyRh

Crystalline SrDyRh at its relaxed geometry (PBE, the Alexandria database).

Cell: 4.995 7.592 10.895 Å, 92.45 103.25 90.00°
Fractional coordinates of all 12 atoms:
1 Dy 0.790 0.386 0.579
2 Dy 0.768 0.870 0.536
3 Dy 0.232 0.130 0.464
4 Dy 0.210 0.614 0.421
5 Rh 0.319 0.840 0.637
6 Rh 0.331 0.482 0.663
7 Rh 0.681 0.160 0.363
8 Rh 0.669 0.518 0.337
9 Sr 0.077 0.312 0.154
10 Sr 0.411 0.164 0.822
11 Sr 0.589 0.836 0.178
12 Sr 0.923 0.688 0.846

Calculated values
The space group is C2/m. The formation energy is -0.426 eV/atom. The value obtained for the energy above the most stable polymorph in this dataset is 0 meV per atom.

# PmHo2Sn9

Crystalline PmHo2Sn9 at its relaxed geometry (PBE, the Alexandria database).

Cell: 4.798 4.798 13.746 Å, 90.00 90.00 90.00°
Fractional coordinates of all 12 atoms:
1 Sn 0.500 0.000 0.830
2 Sn 0.000 0.500 0.830
3 Sn 0.500 0.500 0.000
4 Sn 0.500 0.500 0.335
5 Sn 0.500 0.000 0.500
6 Sn 0.000 0.500 0.170
7 Sn 0.500 0.500 0.665
8 Sn 0.000 0.500 0.500
9 Sn 0.500 0.000 0.170
10 Ho 0.000 0.000 0.666
11 Ho 0.000 0.000 0.334
12 Pm 0.000 0.000 0.000

Calculated values
The space group is P4/mmm. The formation energy is -0.433 eV/atom.

# PdS2Cl8

Crystalline PdS2Cl8 at its relaxed geometry (PBE, the Alexandria database).

Cell: 7.078 7.667 7.667 Å, 57.92 104.33 104.33°
Fractional coordinates of all 11 atoms:
1 Cl 0.058 0.673 0.106
2 Cl 0.493 0.839 0.839
3 Cl 0.942 0.894 0.327
4 Cl 0.507 0.161 0.161
5 Cl 0.353 0.597 0.597
6 Cl 0.942 0.327 0.894
7 Cl 0.058 0.106 0.673
8 Cl 0.647 0.403 0.403
9 S 0.755 0.281 0.281
10 S 0.245 0.719 0.719
11 Pd 0.000 0.000 0.000

Calculated values
The space group is C2/m. Its formation energy without anion corrections is -1.7 eV per formula unit.

# ScMn2BRu

Crystalline ScMn2BRu at its relaxed geometry (PBE, the Alexandria database).

Cell: 3.900 4.526 3.900 Å, 90.00 90.00 90.00°
Fractional coordinates of all 5 atoms:
1 B 0.000 0.000 0.000
2 Ru 0.500 0.500 0.500
3 Sc 0.000 0.500 0.000
4 Mn 0.500 0.000 0.000
5 Mn 0.000 0.000 0.500

Calculated values
The space group is P4/mmm. The formation energy is 0.078 eV/atom.

# In2AsC

Crystalline In2AsC at its relaxed geometry (PBE, the Alexandria database).

Cell: 5.789 5.789 6.745 Å, 64.59 64.59 90.00°
Fractional coordinates of all 8 atoms:
1 C 0.250 0.750 0.500
2 C 0.500 0.500 0.000
3 In 0.553 0.125 0.250
4 In 0.875 0.803 0.750
5 In 0.197 0.625 0.250
6 In 0.375 0.447 0.750
7 As 0.750 0.250 0.500
8 As 0.000 0.000 0.000

Calculated values
The space group is I-42d. The formation energy is 0.590 eV/atom. The value obtained for the energy above the most stable polymorph in this dataset is 0 meV per atom.

# Pm8CoIr3I3

Crystalline Pm8CoIr3I3 at its relaxed geometry (PBE, the Alexandria database).

Cell: 8.306 8.305 9.428 Å, 116.13 90.00 120.00°
Fractional coordinates of all 15 atoms:
1 Pm 0.221 0.958 0.678
2 Pm 0.737 0.958 0.678
3 Pm 0.263 0.042 0.322
4 Pm 0.728 0.456 0.683
5 Pm 0.221 0.441 0.678
6 Pm 0.779 0.042 0.322
7 Pm 0.779 0.559 0.322
8 Pm 0.272 0.544 0.317
9 Co 0.000 0.000 0.500
10 I 0.000 0.000 0.000
11 I 0.000 0.500 0.000
12 I 0.500 0.500 0.000
13 Ir 0.500 0.000 0.500
14 Ir 0.500 0.500 0.500
15 Ir 0.000 0.500 0.500

Calculated values
The space group is R-3m. Its formation energy without anion corrections is -11.3 eV per formula unit.

# HfCd2H

Crystalline HfCd2H at its relaxed geometry (PBE, the Alexandria database).

Cell: 3.311 3.311 7.590 Å, 77.38 77.38 59.92°
Fractional coordinates of all 4 atoms:
1 Cd 0.765 0.765 0.705
2 Cd 0.990 0.990 0.034
3 Hf 0.211 0.211 0.367
4 H 0.535 0.535 0.394

Calculated values
The space group is Cm. The value obtained for the energy above the most stable polymorph in this dataset is 0 meV per atom.

# Rb2SiSnTe4

Crystalline Rb2SiSnTe4 at its relaxed geometry (PBE, the Alexandria database).

Cell: 7.237 9.728 10.549 Å, 90.00 90.00 90.00°
Fractional coordinates of all 16 atoms:
1 Te 0.441 0.724 0.298
2 Te 0.441 0.724 0.702
3 Te 0.941 0.276 0.202
4 Te 0.861 0.894 0.500
5 Te 0.941 0.276 0.798
6 Te 0.361 0.106 0.000
7 Te 0.373 0.099 0.500
8 Te 0.873 0.901 0.000
9 Si 0.510 0.856 0.500
10 Si 0.010 0.144 0.000
11 Rb 0.948 0.660 0.752
12 Rb 0.448 0.340 0.748
13 Rb 0.448 0.340 0.252
14 Rb 0.948 0.660 0.248
15 Sn 0.978 0.174 0.500
16 Sn 0.478 0.826 0.000

Calculated values
The space group is Pmn2_1. Its formation energy without anion corrections is -3.9 eV per formula unit.

# Ac3YAl8

Crystalline Ac3YAl8 at its relaxed geometry (PBE, the Alexandria database).

Cell: 5.829 5.829 10.114 Å, 73.25 73.25 60.00°
Fractional coordinates of all 12 atoms:
1 Ac 0.000 0.000 0.000
2 Ac 0.375 0.375 0.875
3 Ac 0.500 0.500 0.500
4 Al 0.436 0.436 0.194
5 Al 0.939 0.939 0.681
6 Al 0.441 0.939 0.681
7 Al 0.436 0.934 0.194
8 Al 0.687 0.687 0.940
9 Al 0.939 0.441 0.681
10 Al 0.188 0.188 0.436
11 Al 0.934 0.436 0.194
12 Y 0.875 0.875 0.376

Calculated values
The space group is R3m. The formation energy is -0.378 eV/atom.

no.,final energy (eV per atom)
1,-4.97
2,-4.59
3,-2.72
4,-8.05
5,-4.25
6,-5.84
7,-3.96
8,-3.48
9,-4.44